(1)
Computed, not measured: a relaxed structure of LaAl2V2 at the GGA-PBE level of DFT.

```
LaAl2V2
1.0
7.910 0.000 0.000
0.000 7.910 0.000
0.000 0.000 2.948
La Al V
2 4 4
Direct
0.000 0.000 0.000 La
0.500 0.500 0.000 La
0.121 0.379 0.000 Al
0.379 0.879 0.000 Al
0.621 0.121 0.000 Al
0.879 0.621 0.000 Al
0.169 0.669 0.500 V
0.331 0.169 0.500 V
0.669 0.831 0.500 V
0.831 0.331 0.500 V
```

Properties
Total energy   -6.03 eV per atom
Energy relative to the elements   0.5 eV/f.u.
Symmetry   P4/mbm, No. 127

=====

(2)
Computed, not measured: a relaxed structure of CsTl6Hg2 at the GGA-PBE level of DFT.

```
CsTl6Hg2
1.0
5.316 0.000 0.000
0.000 5.316 0.000
0.000 0.000 10.983
Cs Tl Hg
1 6 2
Direct
0.000 0.000 0.000 Cs
0.000 0.000 0.500 Tl
0.000 0.500 0.306 Tl
0.000 0.500 0.694 Tl
0.500 0.000 0.306 Tl
0.500 0.000 0.694 Tl
0.500 0.500 0.500 Tl
0.500 0.500 0.140 Hg
0.500 0.500 0.860 Hg
```

Properties
Total energy   -1.82 eV per atom
Energy relative to the elements   -0.7 eV/f.u.
Symmetry   P4/mmm, No. 123

=====

(3)
Computed, not measured: a relaxed structure of ZrNb2B4 at the GGA-PBE level of DFT.

```
ZrNb2B4
1.0
3.181 0.000 0.000
0.000 3.401 0.000
0.000 0.000 14.283
Zr Nb B
2 4 8
Direct
0.000 0.000 0.000 Zr
0.500 0.500 0.500 Zr
0.000 0.500 0.314 Nb
0.000 0.500 0.686 Nb
0.500 0.000 0.186 Nb
0.500 0.000 0.814 Nb
0.000 0.000 0.434 B
0.000 0.000 0.566 B
0.000 0.500 0.134 B
0.000 0.500 0.866 B
0.500 0.000 0.366 B
0.500 0.000 0.634 B
0.500 0.500 0.066 B
0.500 0.500 0.934 B
```

Properties
Total energy   -8.77 eV per atom
Energy relative to the elements   -6.0 eV/f.u.
Symmetry   Immm, No. 71

=====

Repeat the second record exactly.
Computed, not measured: a relaxed structure of CsTl6Hg2 at the GGA-PBE level of DFT.

```
CsTl6Hg2
1.0
5.316 0.000 0.000
0.000 5.316 0.000
0.000 0.000 10.983
Cs Tl Hg
1 6 2
Direct
0.000 0.000 0.000 Cs
0.000 0.000 0.500 Tl
0.000 0.500 0.306 Tl
0.000 0.500 0.694 Tl
0.500 0.000 0.306 Tl
0.500 0.000 0.694 Tl
0.500 0.500 0.500 Tl
0.500 0.500 0.140 Hg
0.500 0.500 0.860 Hg
```

Properties
Total energy   -1.82 eV per atom
Energy relative to the elements   -0.7 eV/f.u.
Symmetry   P4/mmm, No. 123